# BeNb2Cr4 (PBE, optimized geometry)
# - Formation energy: 771 meV/atom
# - Raw total energy: -8.1378 eV per atom
# - M_tot: 6.59 μB per formula unit
data_BeNb2Cr4
_symmetry_space_group_name_H-M 'I 4/m m m'
_symmetry_Int_Tables_number 139
_symmetry_space_group_name_Hall '-I 4 2'
_cell_length_a 4.073
_cell_length_b 4.073
_cell_length_c 13.096
_cell_angle_alpha 90.00
_cell_angle_beta 90.00
_cell_angle_gamma 90.00
loop_
_atom_site_label
_atom_site_type_symbol
_atom_site_fract_x
_atom_site_fract_y
_atom_site_fract_z
Be1 Be 0.000 0.000 0.000
Nb1 Nb 0.000 0.000 0.383
Cr1 Cr 0.000 0.000 0.172
Cr2 Cr 0.000 0.500 0.000